First-principles (PBE) data for crystalline Pr6NdSn4 at its relaxed geometry, as listed in the Alexandria database.

The calculation puts the calculated formation energy at -0.3819 eV per atom. For the total energy, the calculation gives -107.31 eV/cell. As for the density of states at the Fermi level: 1.1270 states/eV per atom.

The structure belongs to space group I-42m (No. 121); the cell edges are 8.177, 8.177 and 12.099 Å and the angles 90.00°, 90.00° and 90.00°. The inequivalent atoms are Pr at (0.000, 0.500, 0.000), Pr at (0.158, 0.158, 0.165), Nd at (0.000, 0.000, 0.500) and Sn at (0.228, 0.228, 0.901).